Hf5Zr3Sb2: optimized geometry, GGA-PBE.

Summary:
As for the space group: Ibam (72). Its size of the total moment is 0.0 μB per formula unit. Its calculated total energy is -166.04 eV/cell.

```
data_Hf5Zr3Sb2
_chemical_formula_sum 'Hf10 Zr6 Sb4'
_space_group_name_H-M_alt 'P 1'
_space_group_IT_number 1
_space_group_name_Hall 'P 1'
_cell_length_a 5.750
_cell_length_b 9.667
_cell_length_c 9.667
_cell_angle_alpha 97.05
_cell_angle_beta 72.70
_cell_angle_gamma 72.70
loop_
_atom_site_label
_atom_site_fract_x
_atom_site_fract_y
_atom_site_fract_z
Zr1 0.873 0.912 0.342
Zr2 0.750 0.000 0.000
Zr3 0.373 0.342 0.912
Zr4 0.250 0.000 0.000
Zr5 0.627 0.658 0.088
Zr6 0.127 0.088 0.658
Hf1 0.750 0.500 0.500
Hf2 0.996 0.254 0.254
Hf3 0.504 0.746 0.746
Hf4 0.496 0.254 0.254
Hf5 0.406 0.749 0.439
Hf6 0.594 0.251 0.561
Hf7 0.906 0.439 0.749
Hf8 0.094 0.561 0.251
Hf9 0.250 0.500 0.500
Hf10 0.004 0.746 0.746
Sb1 0.361 0.986 0.291
Sb2 0.861 0.291 0.986
Sb3 0.139 0.709 0.014
Sb4 0.639 0.014 0.709
```